DFT (GGA-PBE) results for CaAcTmSn after structural relaxation.

Structure (POSCAR):
```
CaAcTmSn
1.0
7.992 0.000 0.000
0.000 7.992 0.000
0.000 0.000 7.992
Ca Ac Tm Sn
4 4 4 4
Direct
0.000 0.000 0.000 Ca
0.000 0.500 0.500 Ca
0.500 0.000 0.500 Ca
0.500 0.500 0.000 Ca
0.250 0.250 0.250 Ac
0.250 0.750 0.750 Ac
0.750 0.250 0.750 Ac
0.750 0.750 0.250 Ac
0.000 0.000 0.500 Tm
0.000 0.500 0.000 Tm
0.500 0.000 0.000 Tm
0.500 0.500 0.500 Tm
0.250 0.250 0.750 Sn
0.250 0.750 0.250 Sn
0.750 0.250 0.250 Sn
0.750 0.750 0.750 Sn
```

Results
The mass density is 7.22 Mg/m³. The calculation puts the density of states at the Fermi level at 24.93 states/eV per cell. For the magnetization, the calculation gives 3.863 Bohr magnetons per cell. The space group is No. 216. The formation energy is -0.082 eV/atom.



DFT (GGA-PBE) results for AlZnMo2 after structural relaxation.

Structure (POSCAR):
```
AlZnMo2
1.0
3.330 0.000 0.000
0.000 4.242 0.000
0.000 0.000 4.305
Al Zn Mo
1 1 2
Direct
0.000 0.000 0.000 Al
0.500 0.500 0.000 Zn
0.000 0.500 0.500 Mo
0.500 0.000 0.500 Mo
```

Results
The mass density is 7.76 Mg/m³. The calculation puts the density of states at the Fermi level at 2.57 states/eV per cell. For the magnetization, the calculation gives 0.000 Bohr magnetons per cell. The space group is No. 47. The formation energy is -0.009 eV/atom.



DFT (GGA-PBE) results for P3SF after structural relaxation.

Structure (POSCAR):
```
P3SF
1.0
4.392 0.000 0.000
0.000 4.392 0.000
0.000 0.000 4.392
P S F
3 1 1
Direct
0.000 0.000 0.500 P
0.000 0.500 0.000 P
0.500 0.000 0.000 P
0.500 0.500 0.500 S
0.000 0.000 0.000 F
```

Results
The mass density is 2.82 Mg/m³. The value obtained for the formation energy (no corrections) is 1.13 eV/atom. The calculation puts the density of states at the Fermi level at 3.12 states/eV per cell. For the magnetization, the calculation gives 0.000 Bohr magnetons per cell. The space group is No. 221.



DFT (GGA-PBE) results for TiVSb2Mo after structural relaxation.

Structure (POSCAR):
```
TiVSb2Mo
1.0
5.184 0.000 0.000
0.000 5.184 0.000
0.000 0.000 4.358
Ti V Sb Mo
1 1 2 1
Direct
0.000 0.000 0.000 Ti
0.500 0.500 0.500 V
0.000 0.500 0.000 Sb
0.500 0.000 0.000 Sb
0.000 0.000 0.500 Mo
```

Results
The mass density is 6.21 Mg/m³. The value obtained for the formation energy (no corrections) is 1.28 eV/atom. The calculation puts the density of states at the Fermi level at 9.96 states/eV per cell. For the magnetization, the calculation gives 0.000 Bohr magnetons per cell. The space group is No. 123.



DFT (GGA-PBE) results for BaLiHg2Pb after structural relaxation.

Structure (POSCAR):
```
BaLiHg2Pb
1.0
5.213 0.000 0.000
0.000 5.213 0.000
0.000 0.000 5.379
Ba Li Hg Pb
1 1 2 1
Direct
0.000 0.000 0.000 Ba
0.500 0.500 0.500 Li
0.000 0.500 0.500 Hg
0.500 0.000 0.500 Hg
0.500 0.500 0.000 Pb
```

Results
The mass density is 8.55 Mg/m³. The calculation puts the density of states at the Fermi level at 3.33 states/eV per cell. For the magnetization, the calculation gives 0.000 Bohr magnetons per cell. The space group is No. 123. The formation energy is -0.326 eV/atom.



DFT (GGA-PBE) results for LiLa2PtI after structural relaxation.

Structure (POSCAR):
```
LiLa2PtI
1.0
5.912 0.000 0.000
0.000 5.912 0.000
0.000 0.000 4.549
Li La Pt I
1 2 1 1
Direct
0.000 0.000 0.000 Li
0.000 0.500 0.500 La
0.500 0.000 0.500 La
0.500 0.500 0.000 Pt
0.000 0.000 0.500 I
```

Results
The mass density is 6.34 Mg/m³. The value obtained for the formation energy (no corrections) is -0.03 eV/atom. The calculation puts the density of states at the Fermi level at 4.30 states/eV per cell. For the magnetization, the calculation gives 0.000 Bohr magnetons per cell. The space group is No. 123.



DFT (GGA-PBE) results for CoOs after structural relaxation.

Structure (POSCAR):
```
CoOs
1.0
9.937 0.000 0.000
-4.969 8.606 0.000
0.000 0.000 2.645
Co Os
6 6
Direct
0.219 0.502 0.250 Co
0.283 0.781 0.250 Co
0.498 0.717 0.250 Co
0.502 0.283 0.750 Co
0.717 0.219 0.750 Co
0.781 0.498 0.750 Co
0.017 0.614 0.250 Os
0.386 0.403 0.250 Os
0.403 0.017 0.750 Os
0.597 0.983 0.250 Os
0.614 0.597 0.750 Os
0.983 0.386 0.750 Os
```

Results
The mass density is 10.98 Mg/m³. The calculation puts the density of states at the Fermi level at 15.99 states/eV per cell. For the magnetization, the calculation gives 0.005 Bohr magnetons per cell. The space group is No. 176. The formation energy is 1.041 eV/atom.



DFT (GGA-PBE) results for Er3InAg4S8 after structural relaxation.

Structure (POSCAR):
```
Er3InAg4S8
1.0
6.963 -4.010 0.000
6.963 4.010 0.000
-4.783 0.000 7.532
Er In Ag S
3 1 4 8
Direct
0.000 0.000 0.000 Er
0.000 0.500 0.000 Er
0.500 0.000 0.000 Er
0.500 0.500 0.000 In
0.000 0.000 0.500 Ag
0.000 0.500 0.500 Ag
0.500 0.000 0.500 Ag
0.500 0.500 0.500 Ag
0.102 0.102 0.814 S
0.109 0.599 0.814 S
0.400 0.400 0.186 S
0.401 0.891 0.186 S
0.599 0.109 0.814 S
0.600 0.600 0.814 S
0.891 0.401 0.186 S
0.898 0.898 0.186 S
```

Results
The mass density is 5.15 Mg/m³. The value obtained for the formation energy (no corrections) is -1.06 eV/atom. For the magnetization, the calculation gives 0.000 Bohr magnetons per cell. The space group is No. 12.